No. 1
Computed, not measured: DyPu3Tl3Se8 after structural relaxation at the GGA-PBE level of DFT.

Cell and atoms, written as extended XYZ:
```
15
Lattice="4.1906 2.4194 7.7327 -4.1906 2.4194 7.7327 0.0000 -4.8389 7.7327" Properties=species:S:1:pos:R:3 pbc="T T T"
Dy 0.0000 0.0000 0.0000
Pu -2.0953 -1.2097 7.7327
Pu -2.0953 1.2097 15.4654
Pu 0.0000 2.4194 7.7327
Tl -4.1906 0.0000 11.5991
Tl -2.0953 1.2097 3.8664
Tl 2.0953 1.2097 3.8664
Se 0.0000 -2.4108 9.2920
Se -2.0878 1.2054 9.2920
Se 0.0000 0.0000 6.1672
Se -2.0878 -1.2054 13.9062
Se 2.0878 1.2054 9.2920
Se 0.0000 0.0000 17.0309
Se 2.0878 -1.2054 13.9062
Se 0.0000 2.4108 13.9062
```

Space group = R-3m (166)

No. 2
Computed, not measured: NdDyTm4 after structural relaxation at the GGA-PBE level of DFT.

Cell and atoms, written as extended XYZ:
```
12
Lattice="4.3660 -7.2676 0.0000 4.3660 7.2676 0.0000 -2.3379 0.0000 6.0328" Properties=species:S:1:pos:R:3 pbc="T T T"
Nd 2.6126 7.1886 4.5246
Nd 3.7816 -7.1886 1.5082
Dy 2.6126 1.2631 4.5246
Dy 3.7816 -1.2631 1.5082
Tm 2.4874 4.3909 2.7840
Tm 2.3441 1.8798 0.6993
Tm 5.0758 4.3909 0.2324
Tm 1.1752 -1.8798 3.7157
Tm 5.2190 1.8798 2.3171
Tm 1.3184 -4.3909 5.8004
Tm 4.0501 -1.8798 5.3334
Tm 3.9068 -4.3909 3.2488
```

Space group = C2/c (15)

No. 3
Computed, not measured: TcNiIr after structural relaxation at the GGA-PBE level of DFT.

Cell and atoms, written as extended XYZ:
```
12
Lattice="2.6906 0.0000 0.0000 0.0000 14.9198 0.0000 0.0000 0.0000 4.1202" Properties=species:S:1:pos:R:3 pbc="T T T"
Tc 0.0000 0.7159 1.0300
Tc 0.0000 14.2039 3.0901
Tc 1.3453 6.7440 3.0901
Tc 1.3453 8.1758 1.0300
Ni 0.0000 3.1606 1.0300
Ni 0.0000 11.7592 3.0901
Ni 1.3453 4.2993 3.0901
Ni 1.3453 10.6205 1.0300
Ir 0.0000 5.7055 1.0300
Ir 0.0000 9.2143 3.0901
Ir 1.3453 1.7544 3.0901
Ir 1.3453 13.1654 1.0300
```

Space group = Cmcm (63)

No. 4
Computed, not measured: Mg4AlSi3 after structural relaxation at the GGA-PBE level of DFT.

Cell and atoms, written as extended XYZ:
```
32
Lattice="6.6116 0.0000 0.0000 0.0000 6.6116 0.0000 0.0000 0.0000 13.6358" Properties=species:S:1:pos:R:3 pbc="T T T"
Mg 0.4126 3.9334 1.3451
Mg 0.4126 5.9840 8.1630
Mg 0.6276 3.7184 5.4728
Mg 0.6276 6.1991 12.2907
Mg 2.6782 3.7184 12.2907
Mg 2.6782 6.1991 5.4728
Mg 2.8932 3.9334 8.1630
Mg 2.8932 5.9840 1.3451
Mg 3.7184 0.6276 12.2907
Mg 3.7184 2.6782 5.4728
Mg 3.9334 0.4126 8.1630
Mg 3.9334 2.8932 1.3451
Mg 5.9840 0.4126 1.3451
Mg 5.9840 2.8932 8.1630
Mg 6.1991 0.6276 5.4728
Mg 6.1991 2.6782 12.2907
Al 1.6529 1.6529 2.9674
Al 1.6529 1.6529 9.7853
Al 4.9587 4.9587 3.8505
Al 4.9587 4.9587 10.6684
Si 0.7899 4.0957 10.2269
Si 0.7899 5.8217 3.4090
Si 1.6529 1.6529 0.2288
Si 1.6529 1.6529 7.0467
Si 2.5159 4.0957 3.4090
Si 2.5159 5.8217 10.2269
Si 4.0957 0.7899 3.4090
Si 4.0957 2.5159 10.2269
Si 4.9587 4.9587 6.5891
Si 4.9587 4.9587 13.4070
Si 5.8217 0.7899 10.2269
Si 5.8217 2.5159 3.4090
```

Space group = P4/ncc (130)

No. 5
Computed, not measured: Tb3Se2N2 after structural relaxation at the GGA-PBE level of DFT.

Cell and atoms, written as extended XYZ:
```
14
Lattice="6.4365 0.0000 0.0000 0.0000 7.2115 0.0000 -3.1593 0.0000 6.4278" Properties=species:S:1:pos:R:3 pbc="T T T"
Tb 0.0000 0.0000 0.0000
Tb -1.5797 3.6058 3.2139
Tb 0.0940 0.8241 4.9146
Tb 1.6736 2.7816 1.7007
Tb 1.6036 4.4299 4.7271
Tb 3.1832 6.3874 1.5132
Se -1.7439 4.6974 5.8894
Se -0.1642 6.1199 2.6755
Se 3.4414 1.0916 3.7523
Se 5.0211 2.5141 0.5384
N 2.0133 0.8592 0.4308
N 0.4336 2.7466 3.6447
N 2.8436 4.4650 2.7831
N 1.2639 6.3523 5.9970
```

Space group = P2_1/c (14)

No. 6
Computed, not measured: LaCI2O after structural relaxation at the GGA-PBE level of DFT.

Cell and atoms, written as extended XYZ:
```
5
Lattice="4.9344 0.0000 0.0000 0.0000 4.9344 0.0000 0.0000 0.0000 4.3850" Properties=species:S:1:pos:R:3 pbc="T T T"
La 0.0000 0.0000 0.0000
C 2.4672 2.4672 2.1925
I 0.0000 2.4672 2.1925
I 2.4672 0.0000 2.1925
O 2.4672 2.4672 0.0000
```

Space group = P4/mmm (123)

| no. | electronic total energy (eV/atom) |
| --- | --- |
| 1 | -6.7207 |
| 2 | -4.3803 |
| 3 | -8.2817 |
| 4 | -3.3415 |
| 5 | -6.8790 |
| 6 | -4.0911 |